# 1
CaMnTlSe2: relaxed, PBE-GGA.

It has space group P4/mmm (No. 123), with a = 4.973 Å, b = 4.973 Å, c = 5.245 Å, α = 90.00°, β = 90.00° and γ = 90.00°. Symmetry generates all atoms from Ca at (0.000, 0.000, 0.000), Mn at (0.000, 0.000, 0.500), Tl at (0.500, 0.500, 0.000) and Se at (0.000, 0.500, 0.500).

The calculation puts the raw formation energy at -0.203 eV/atom.

=====

# 2
LiSc2Ti: relaxed, PBE-GGA.

It has space group R-3m (No. 166, hexagonal axes), with a = 3.1004 Å, b = 3.1004 Å, c = 31.2535 Å, α = 90.00°, β = 90.00° and γ = 120.00°. Symmetry generates all atoms from Li at (0.0000, 0.0000, 0.0000), Sc at (0.0000, 0.0000, 0.2434) and Ti at (0.0000, 0.0000, 0.5000).

Its energy relative to the elements is 136 meV per atom.

=====

# 3
SiTe2Ir: relaxed, PBE-GGA.

It has space group Cm (No. 8), with a = 7.352 Å, b = 3.875 Å, c = 6.766 Å, α = 90.00°, β = 103.86° and γ = 90.00°. Symmetry generates all atoms from Si at (0.000, 0.000, 0.000), Te at (0.141, 0.000, 0.692), Te at (0.447, 0.000, 0.329) and Ir at (0.203, 0.500, 0.090).

The calculation puts the raw formation energy at -0.016 eV/atom.

=====

# 4
As2P: relaxed, PBE-GGA.

It has space group P6/mmm (No. 191), with a = 4.9008 Å, b = 4.9008 Å, c = 2.6682 Å, α = 90.00°, β = 90.00° and γ = 120.00°. Symmetry generates all atoms from As at (0.3333, 0.6667, 0.0000) and P at (0.0000, 0.0000, 0.0000).

The calculation puts the energy above the most stable polymorph in this dataset at 29.8 kJ/mol of atoms. Its energy relative to the elements is 367 meV per atom.

=====

# 5
AcTbPrDy: relaxed, PBE-GGA.

It has space group Imm2 (No. 44), with a = 5.206 Å, b = 5.285 Å, c = 10.453 Å, α = 90.00°, β = 90.00° and γ = 90.00°. Symmetry generates all atoms from Ac at (0.000, 0.000, 0.000), Tb at (0.000, 0.000, 0.501), Pr at (0.000, 0.500, 0.753) and Dy at (0.000, 0.500, 0.250).

The calculation puts the energy above the most stable polymorph in this dataset at 0.0 kJ/mol of atoms. Its energy relative to the elements is 54 meV per atom.

=====

# 6
CaAl2In: relaxed, PBE-GGA.

It has space group P4/mmm (No. 123), with a = 4.446 Å, b = 4.446 Å, c = 4.439 Å, α = 90.00°, β = 90.00° and γ = 90.00°. Symmetry generates all atoms from Ca at (0.000, 0.000, 0.000), Al at (0.000, 0.500, 0.500) and In at (0.500, 0.500, 0.000).

Its energy relative to the elements is -164 meV per atom.